No. 1
The following is a PBE calculation of crystalline Ac6Hg6Au at its relaxed geometry, from Alexandria.

Cell lengths 6.831, 6.831, 11.044 Å; angles 90.00, 90.00, 120.00 degrees
Fractional positions:
Ac 0.000 0.000 0.222
Ac 0.000 0.000 0.778
Ac 0.333 0.667 0.000
Ac 0.333 0.667 0.500
Ac 0.667 0.333 0.000
Ac 0.667 0.333 0.500
Hg 0.000 0.500 0.250
Hg 0.000 0.500 0.750
Hg 0.500 0.000 0.250
Hg 0.500 0.000 0.750
Hg 0.500 0.500 0.250
Hg 0.500 0.500 0.750
Au 0.000 0.000 0.500

For the spin magnetization, the calculation gives 0.01 μB/f.u.

No. 2
The following is a PBE calculation of crystalline AcHgAu at its relaxed geometry, from Alexandria.

Cell lengths 4.968, 3.900, 8.688 Å; angles 90.00, 90.00, 90.00 degrees
Fractional positions:
Ac 0.250 0.000 0.225
Ac 0.750 0.000 0.775
Hg 0.250 0.500 0.584
Hg 0.750 0.500 0.416
Au 0.250 0.500 0.915
Au 0.750 0.500 0.085

For the spin magnetization, the calculation gives 0.00 μB/f.u. As for the excess energy over the best structure of this formula in the dataset: 0.000 eV per atom.

No. 3
The following is a PBE calculation of crystalline AcHg2Au8 at its relaxed geometry, from Alexandria.

Cell lengths 5.513, 5.513, 9.602 Å; angles 90.00, 90.00, 90.00 degrees
Fractional positions:
Ac 0.000 0.000 0.000
Hg 0.000 0.500 0.500
Hg 0.500 0.000 0.500
Au 0.253 0.253 0.260
Au 0.253 0.253 0.740
Au 0.253 0.747 0.260
Au 0.253 0.747 0.740
Au 0.747 0.253 0.260
Au 0.747 0.253 0.740
Au 0.747 0.747 0.260
Au 0.747 0.747 0.740

For the spin magnetization, the calculation gives 0.00 μB/f.u.

Record order is preserved below.
DFT formation energy: -0.33, -0.68, -0.08 eV/atom
Record order is preserved below.
VASP energy: -2.62, -3.24, -2.90 eV per atom
Record order is preserved below.
N(E_F): 17.28, 3.22, 3.36 states/eV per cell